A | {"formula": "CoHOs", "functional": "PBE", "state": "optimized geometry", "dos_at_fermi_per_ev_cell": 2.6, "spacegroup": "P4/mmm", "lattice_angstrom": [[2.653, 0.000, 0.000], [0.000, 2.653, 0.000], [0.000, 0.000, 3.831]], "species": ["Co", "Os", "H"], "frac_coords": [[0.000, 0.000, 0.000], [0.500, 0.500, 0.500], [0.500, 0.500, 0.000]]}


B | {"formula": "CoHOs", "functional": "PBE", "state": "optimized geometry", "dos_at_fermi_per_ev_cell": 5.7, "spacegroup": "Cm", "lattice_angstrom": [[-1.747, -0.090, -1.962], [0.592, -2.582, -0.409], [-5.572, -2.146, 5.475]], "species": ["H", "H", "Os", "Os", "Co", "Co"], "frac_coords": [[0.739, 0.000, 0.696], [0.739, 0.500, 0.196], [0.620, 0.000, 0.032], [0.620, 0.500, 0.532], [0.085, 0.500, 0.821], [0.085, 0.000, 0.321]]}


C | {"formula": "CoHOs", "functional": "PBE", "state": "optimized geometry", "dos_at_fermi_per_ev_cell": 10.6, "spacegroup": "Pnma", "lattice_angstrom": [[-0.642, 2.417, -3.653], [-4.771, -1.927, -0.436], [-1.735, 3.677, 2.737]], "species": ["Co", "Co", "Co", "Co", "H", "H", "H", "H", "Os", "Os", "Os", "Os"], "frac_coords": [[0.000, 0.000, 0.000], [0.000, 0.500, 0.000], [0.500, 0.000, 0.500], [0.500, 0.500, 0.500], [0.838, 0.250, 0.818], [0.162, 0.750, 0.182], [0.662, 0.750, 0.318], [0.338, 0.250, 0.682], [0.500, 0.750, 0.936], [0.000, 0.750, 0.564], [0.500, 0.250, 0.064], [0.000, 0.250, 0.436]]}


Most stable: A. Least stable: C.


A | {"formula": "Co2HOs2", "functional": "PBE", "state": "optimized geometry", "dos_at_fermi_per_ev_cell": 10.1, "spacegroup": "P4/mbm", "lattice_angstrom": [[7.116, 0.000, 0.000], [0.000, 7.116, 0.000], [0.000, 0.000, 2.585]], "species": ["Co", "Co", "Co", "Co", "Os", "Os", "Os", "Os", "H", "H"], "frac_coords": [[0.340, 0.160, 0.500], [0.660, 0.840, 0.500], [0.160, 0.660, 0.500], [0.840, 0.340, 0.500], [0.865, 0.635, 0.000], [0.635, 0.135, 0.000], [0.365, 0.865, 0.000], [0.135, 0.365, 0.000], [0.500, 0.500, 0.000], [0.000, 0.000, 0.000]]}


B | {"formula": "Co2HOs2", "functional": "PBE", "state": "optimized geometry", "dos_at_fermi_per_ev_cell": 6.1, "spacegroup": "I4/mmm", "lattice_angstrom": [[3.593, 0.000, 0.000], [0.000, 3.593, 0.000], [1.797, 1.797, 5.524]], "species": ["Os", "Os", "Co", "Co", "H"], "frac_coords": [[0.250, 0.750, 0.500], [0.750, 0.250, 0.500], [0.402, 0.402, 0.195], [0.598, 0.598, 0.805], [0.000, 0.000, 0.000]]}


C | {"formula": "Co2HOs2", "functional": "PBE", "state": "optimized geometry", "dos_at_fermi_per_ev_cell": 5.9, "spacegroup": "I4/mmm", "lattice_angstrom": [[-0.369, -1.193, -2.814], [3.039, 0.162, -0.467], [2.017, -6.397, 0.762]], "species": ["Os", "Os", "Co", "Co", "H"], "frac_coords": [[0.405, 0.405, 0.190], [0.595, 0.595, 0.810], [0.750, 0.250, 0.500], [0.250, 0.750, 0.500], [0.000, 0.000, 0.000]]}


Most stable: A. Least stable: B.


A | {"formula": "Co3HOs", "functional": "PBE", "state": "optimized geometry", "dos_at_fermi_per_ev_cell": 4.8, "spacegroup": "Pm-3m", "lattice_angstrom": [[3.635, 0.000, 0.000], [0.000, 3.635, 0.000], [0.000, 0.000, 3.635]], "species": ["Os", "Co", "Co", "Co", "H"], "frac_coords": [[0.500, 0.500, 0.500], [0.000, 0.000, 0.500], [0.500, 0.000, 0.000], [0.000, 0.500, 0.000], [0.000, 0.000, 0.000]]}


B | {"formula": "Co3HOs", "functional": "PBE", "state": "optimized geometry", "dos_at_fermi_per_ev_cell": 6.2, "spacegroup": "Pm-3m", "lattice_angstrom": [[4.493, 0.000, 0.000], [0.000, 4.493, 0.000], [0.000, 0.000, 4.493]], "species": ["Co", "Co", "Co", "H", "Os"], "frac_coords": [[0.000, 0.500, 0.000], [0.000, 0.000, 0.500], [0.500, 0.000, 0.000], [0.500, 0.500, 0.500], [0.000, 0.000, 0.000]]}


Most stable: A. Least stable: B.


A | {"formula": "CoH3Os", "functional": "PBE", "state": "optimized geometry", "dos_at_fermi_per_ev_cell": 4.0, "spacegroup": "Pm-3m", "lattice_angstrom": [[-1.101, 1.276, -2.709], [-2.758, -1.557, 0.387], [-1.167, 2.475, 1.641]], "species": ["H", "H", "H", "Os", "Co"], "frac_coords": [[0.000, 0.500, 0.000], [0.500, 0.000, 0.000], [0.000, 0.000, 0.500], [0.500, 0.500, 0.500], [0.000, 0.000, 0.000]]}


B | {"formula": "CoH3Os", "functional": "PBE", "state": "optimized geometry", "dos_at_fermi_per_ev_cell": 3.3, "spacegroup": "Pm-3m", "lattice_angstrom": [[3.401, 0.000, 0.000], [0.000, 3.401, 0.000], [0.000, 0.000, 3.401]], "species": ["Co", "H", "H", "H", "Os"], "frac_coords": [[0.500, 0.500, 0.500], [0.500, 0.000, 0.000], [0.000, 0.500, 0.000], [0.000, 0.000, 0.500], [0.000, 0.000, 0.000]]}


Most stable: A. Least stable: B.